Entry from Alexandria via LeMat-Bulk: a geometry-optimized RbScO3 structure (GGA-PBE).

CIF file:
```
data_RbScO3
_chemical_formula_sum 'Rb1 Sc1 O3'
_symmetry_space_group_name_H-M 'P m -3 m'
_symmetry_Int_Tables_number 221
_symmetry_space_group_name_Hall '-P 4 2 3'
_cell_length_a 4.199
_cell_length_b 4.199
_cell_length_c 4.199
_cell_angle_alpha 90.00
_cell_angle_beta 90.00
_cell_angle_gamma 90.00
loop_
_atom_site_label
_atom_site_fract_x
_atom_site_fract_y
_atom_site_fract_z
Rb1 0.000 0.000 0.000
Sc1 0.500 0.500 0.500
O1 0.000 0.500 0.500
```

D(E_F), states/eV per cell: 5.6
Size of the total moment, μB/atom: 0.4000
Formation energy (no corrections), meV per atom: -1868
Volume, Å³/atom: 14.8